# 1
# YFeAg (PBE, optimized geometry)
# DOS(E_F) ... 1.267 states/eV/atom
# Formation energy from the elements ... 0.146 eV per atom
# ρ ... 7009 kg/m3
data_YFeAg
_symmetry_space_group_name_H-M 'I 4 m m'
_symmetry_Int_Tables_number 107
_symmetry_space_group_name_Hall 'I 4 -2'
_cell_length_a 3.432
_cell_length_b 3.432
_cell_length_c 10.162
_cell_angle_alpha 90.00
_cell_angle_beta 90.00
_cell_angle_gamma 90.00
loop_
_atom_site_label
_atom_site_type_symbol
_atom_site_fract_x
_atom_site_fract_y
_atom_site_fract_z
Y1 Y 0.000 0.000 0.000
Fe1 Fe 0.000 0.000 0.673
Ag1 Ag 0.000 0.000 0.304

# 2
# CrIr2Pt (PBE, optimized geometry)
# DOS(E_F) ... 1.211 states/eV/atom
# Formation energy from the elements ... -0.091 eV per atom
# ρ ... 18420 kg/m3
data_CrIr2Pt
_symmetry_space_group_name_H-M 'P m m 2'
_symmetry_Int_Tables_number 25
_cell_length_a 2.715
_cell_length_b 3.834
_cell_length_c 5.470
_cell_angle_alpha 90.00
_cell_angle_beta 90.00
_cell_angle_gamma 90.00
loop_
_symmetry_equiv_pos_as_xyz
'x,y,z'
'-x,-y,z'
'-x,y,z'
'x,-y,z'
loop_
_atom_site_label
_atom_site_type_symbol
_atom_site_fract_x
_atom_site_fract_y
_atom_site_fract_z
Cr1 Cr 0.000 0.000 0.000
Ir1 Ir 0.000 0.000 0.479
Ir2 Ir 0.500 0.500 0.232
Pt1 Pt 0.500 0.500 0.746

# 3
# ZrIn2Fe (PBE, optimized geometry)
# DOS(E_F) ... 0.820 states/eV/atom
# Formation energy from the elements ... 0.361 eV per atom
# ρ ... 7196 kg/m3
data_ZrIn2Fe
_symmetry_space_group_name_H-M 'I -4 2 d'
_symmetry_Int_Tables_number 122
_symmetry_space_group_name_Hall 'I -4 2bw'
_cell_length_a 4.106
_cell_length_b 4.106
_cell_length_c 20.621
_cell_angle_alpha 90.00
_cell_angle_beta 90.00
_cell_angle_gamma 90.00
loop_
_atom_site_label
_atom_site_type_symbol
_atom_site_fract_x
_atom_site_fract_y
_atom_site_fract_z
Zr1 Zr 0.000 0.000 0.000
In1 In 0.239 0.250 0.625
Fe1 Fe 0.000 0.000 0.500

# 4
# NbC4N2 (PBE, optimized geometry)
# Raw formation energy ... 1143 kJ/mol of formula units
# DOS(E_F) ... 0.314 states/eV/atom
# ρ ... 2905 kg/m3
data_NbC4N2
_symmetry_space_group_name_H-M 'I 4/m m m'
_symmetry_Int_Tables_number 139
_symmetry_space_group_name_Hall '-I 4 2'
_cell_length_a 4.344
_cell_length_b 4.344
_cell_length_c 10.237
_cell_angle_alpha 90.00
_cell_angle_beta 90.00
_cell_angle_gamma 90.00
loop_
_atom_site_label
_atom_site_type_symbol
_atom_site_fract_x
_atom_site_fract_y
_atom_site_fract_z
Nb1 Nb 0.000 0.000 0.000
C1 C 0.000 0.000 0.216
C2 C 0.000 0.500 0.000
N1 N 0.000 0.000 0.332

# 5
# SnBi2O5 (PBE, optimized geometry)
# Raw formation energy ... -1041 kJ/mol of formula units
# ρ ... 8290 kg/m3
data_SnBi2O5
_symmetry_space_group_name_H-M 'P n m a'
_symmetry_Int_Tables_number 62
_cell_length_a 7.879
_cell_length_b 3.857
_cell_length_c 16.261
_cell_angle_alpha 90.00
_cell_angle_beta 90.00
_cell_angle_gamma 90.00
loop_
_symmetry_equiv_pos_as_xyz
'x,y,z'
'-x,-y,-z'
'-x+1/2,-y,z+1/2'
'x+1/2,y,-z+1/2'
'x+1/2,-y+1/2,-z+1/2'
'-x+1/2,y+1/2,z+1/2'
'-x,y+1/2,-z'
'x,-y+1/2,z'
loop_
_atom_site_label
_atom_site_type_symbol
_atom_site_fract_x
_atom_site_fract_y
_atom_site_fract_z
Sn1 Sn 0.107 0.250 0.074
Bi1 Bi 0.123 0.250 0.419
Bi2 Bi 0.162 0.250 0.754
O1 O 0.075 0.750 0.038
O2 O 0.086 0.750 0.328
O3 O 0.115 0.750 0.854
O4 O 0.168 0.750 0.505
O5 O 0.247 0.250 0.181

# 6
# K2SnPb3Au4 (PBE, optimized geometry)
# DOS(E_F) ... 0.533 states/eV/atom
# Formation energy from the elements ... -0.214 eV per atom
# ρ ... 9106 kg/m3
data_K2SnPb3Au4
_symmetry_space_group_name_H-M 'P -4 m 2'
_symmetry_Int_Tables_number 115
_cell_length_a 5.214
_cell_length_b 5.214
_cell_length_c 10.773
_cell_angle_alpha 90.00
_cell_angle_beta 90.00
_cell_angle_gamma 90.00
loop_
_symmetry_equiv_pos_as_xyz
'x,y,z'
'y,-x,-z'
'-x,-y,z'
'-y,x,-z'
'-x,y,z'
'-y,-x,-z'
'x,-y,z'
'y,x,-z'
loop_
_atom_site_label
_atom_site_type_symbol
_atom_site_fract_x
_atom_site_fract_y
_atom_site_fract_z
K1 K 0.000 0.500 0.242
Sn1 Sn 0.000 0.000 0.500
Pb1 Pb 0.000 0.500 0.884
Pb2 Pb 0.500 0.500 0.500
Au1 Au 0.000 0.000 0.000
Au2 Au 0.000 0.500 0.616
Au3 Au 0.500 0.500 0.000